A plane-wave DFT calculation with GGA-PBE was carried out for SrCd2Br6 after structural relaxation.

abc: 4.410 7.459 11.298
angles: 87.93 90.00 107.19
Atoms (fractional coordinates):
1 Br 0.908 0.816 0.748
2 Br 0.162 0.324 0.885
3 Cd 0.727 0.454 0.778
4 Br 0.838 0.676 0.115
5 Sr 0.000 0.000 0.500
6 Cd 0.273 0.546 0.222
7 Br 0.639 0.278 0.567
8 Br 0.361 0.722 0.433
9 Br 0.092 0.184 0.252

## Properties
Final energy ... -2.74 eV per atom
Energy above the most stable polymorph in this dataset ... 0 meV per atom
Formation energy from raw total energies ... -1.2366 eV/atom
Total magnetic moment ... 0.00 μB/f.u.
Symmetry ... C2/m